Tb2Mn3Si5: PBEsol geometry, meta-GGA SCAN.

Properties
The theoretical density comes out at 7.02 g cm⁻³. The value obtained for the electronic total energy is -204.849 eV/f.u.

Cell lengths 10.470, 10.470, 5.376 Å; angles 90.00, 90.00, 90.00 degrees
Space group P4/mnc (No. 128)
Asymmetric unit:
1 Tb 0.076 0.236 0.000 x8
2 Mn 0.000 0.500 0.250 x4
3 Mn 0.121 0.854 0.500 x8
4 Si 0.000 0.000 0.261 x4
5 Si 0.024 0.315 0.500 x8
6 Si 0.174 0.674 0.250 x8

Mn2SiTc: PBEsol geometry, meta-GGA SCAN.

Properties
The theoretical density comes out at 8.22 g cm⁻³. The value obtained for the electronic total energy is -83.449 eV/f.u.

Cell lengths 5.755, 5.755, 5.755 Å; angles 90.00, 90.00, 90.00 degrees
Space group F-43m (No. 216)
Asymmetric unit:
1 Mn 0.000 0.000 0.000 x4
2 Mn 0.250 0.250 0.250 x4
3 Si 0.000 0.000 0.500 x4
4 Tc 0.250 0.250 0.750 x4

Mn2SiTc: PBEsol geometry, meta-GGA SCAN.

Properties
The theoretical density comes out at 8.06 g cm⁻³. The value obtained for the electronic total energy is -82.804 eV/f.u.

Cell lengths 3.611, 3.611, 3.726 Å; angles 90.00, 90.00, 90.00 degrees
Space group P4/mmm (No. 123)
Asymmetric unit:
1 Mn 0.000 0.500 0.000 x2
2 Si 0.000 0.000 0.500 x1
3 Tc 0.500 0.500 0.500 x1

MnSiTc3: PBEsol geometry, meta-GGA SCAN.

Properties
The theoretical density comes out at 7.82 g cm⁻³. The value obtained for the electronic total energy is -126.896 eV/f.u. As for the polymorph energy (0 for the lowest one): 559 meV/atom.

Cell lengths 4.311, 4.311, 4.311 Å; angles 90.00, 90.00, 90.00 degrees
Space group Pm-3m (No. 221)
Asymmetric unit:
1 Mn 0.000 0.000 0.000 x1
2 Si 0.500 0.500 0.500 x1
3 Tc 0.000 0.000 0.500 x3

MnSiTc2: PBEsol geometry, meta-GGA SCAN.

Properties
The theoretical density comes out at 9.09 g cm⁻³. The value obtained for the electronic total energy is -98.793 eV/f.u.

Cell lengths 2.729, 3.831, 4.878 Å; angles 90.00, 90.00, 90.00 degrees
Space group Pmm2 (No. 25)
Asymmetric unit:
1 Mn 0.000 0.000 0.000 x1
2 Si 0.500 0.500 0.212 x1
3 Tc 0.000 0.000 0.465 x1
4 Tc 0.500 0.500 0.720 x1

MnSiTc3: PBEsol geometry, meta-GGA SCAN.

Properties
The theoretical density comes out at 7.68 g cm⁻³. The value obtained for the electronic total energy is -129.693 eV/f.u. As for the polymorph energy (0 for the lowest one): 0 meV/atom.

Cell lengths 4.336, 4.336, 4.336 Å; angles 90.00, 90.00, 90.00 degrees
Space group Pm-3m (No. 221)
Asymmetric unit:
1 Mn 0.000 0.000 0.000 x1
2 Si 0.500 0.500 0.500 x1
3 Tc 0.000 0.500 0.500 x3

MnSiTc2: PBEsol geometry, meta-GGA SCAN.

Properties
The theoretical density comes out at 9.18 g cm⁻³. The value obtained for the electronic total energy is -99.898 eV/f.u.

Cell lengths 2.900, 2.900, 5.999 Å; angles 90.00, 90.00, 90.00 degrees
Space group P4/mmm (No. 123)
Asymmetric unit:
1 Mn 0.000 0.000 0.000 x1
2 Si 0.000 0.000 0.500 x1
3 Tc 0.500 0.500 0.256 x2

MnSiTc2: PBEsol geometry, meta-GGA SCAN.

Properties
The theoretical density comes out at 9.25 g cm⁻³. The value obtained for the electronic total energy is -99.005 eV/f.u.

Cell lengths 5.852, 5.852, 5.852 Å; angles 90.00, 90.00, 90.00 degrees
Space group F-43m (No. 216)
Asymmetric unit:
1 Mn 0.000 0.000 0.000 x4
2 Si 0.250 0.250 0.750 x4
3 Tc 0.000 0.000 0.500 x4
4 Tc 0.250 0.250 0.250 x4

MnSiTc2: PBEsol geometry, meta-GGA SCAN.

Properties
The theoretical density comes out at 9.35 g cm⁻³. The value obtained for the electronic total energy is -99.802 eV/f.u.

Cell lengths 2.911, 4.083, 8.334 Å; angles 90.00, 90.00, 90.00 degrees
Space group Imm2 (No. 44)
Asymmetric unit:
1 Mn 0.000 0.000 0.000 x2
2 Si 0.000 0.500 0.728 x2
3 Tc 0.000 0.000 0.476 x2
4 Tc 0.000 0.500 0.240 x2

MnSiTe3: PBEsol geometry, meta-GGA SCAN.

Properties
The theoretical density comes out at 5.87 g cm⁻³. The value obtained for the electronic total energy is -137.351 eV/f.u.

Cell lengths 5.089, 5.089, 5.089 Å; angles 90.00, 90.00, 90.00 degrees
Space group Pm-3m (No. 221)
Asymmetric unit:
1 Mn 0.000 0.000 0.000 x1
2 Si 0.500 0.500 0.500 x1
3 Te 0.000 0.000 0.500 x3

Mn2SiTe: PBEsol geometry, meta-GGA SCAN.

Properties
The theoretical density comes out at 8.39 g cm⁻³. The value obtained for the electronic total energy is -82.541 eV/f.u. As for the polymorph energy (0 for the lowest one): 408 meV/atom.

Cell lengths 2.974, 2.974, 5.941 Å; angles 90.00, 90.00, 90.00 degrees
Space group P4/mmm (No. 123)
Asymmetric unit:
1 Mn 0.000 0.000 0.225 x2
2 Si 0.500 0.500 0.000 x1
3 Te 0.500 0.500 0.500 x1

MnSiTe: PBEsol geometry, meta-GGA SCAN.

Properties
The theoretical density comes out at 5.34 g cm⁻³. The value obtained for the electronic total energy is -63.740 eV/f.u.

Cell lengths 6.398, 6.398, 6.398 Å; angles 90.00, 90.00, 90.00 degrees
Space group F-43m (No. 216)
Asymmetric unit:
1 Mn 0.000 0.000 0.000 x4
2 Si 0.000 0.000 0.500 x4
3 Te 0.250 0.250 0.250 x4

MnSiTe3: PBEsol geometry, meta-GGA SCAN.

Properties
The theoretical density comes out at 5.55 g cm⁻³. The value obtained for the electronic total energy is -137.472 eV/f.u.

Cell lengths 5.186, 5.186, 5.186 Å; angles 90.00, 90.00, 90.00 degrees
Space group Pm-3m (No. 221)
Asymmetric unit:
1 Mn 0.000 0.000 0.000 x1
2 Si 0.500 0.500 0.500 x1
3 Te 0.000 0.500 0.500 x3

Mn2SiTe: PBEsol geometry, meta-GGA SCAN.

Properties
The theoretical density comes out at 7.57 g cm⁻³. The value obtained for the electronic total energy is -83.759 eV/f.u. As for the polymorph energy (0 for the lowest one): 103 meV/atom.

Cell lengths 3.268, 3.268, 5.457 Å; angles 90.00, 90.00, 90.00 degrees
Space group P4mm (No. 99)
Asymmetric unit:
1 Mn 0.000 0.000 0.000 x1
2 Mn 0.500 0.500 0.298 x1
3 Si 0.000 0.000 0.428 x1
4 Te 0.500 0.500 0.794 x1

MnSi3Te: PBEsol geometry, meta-GGA SCAN.

Properties
The theoretical density comes out at 4.89 g cm⁻³. The value obtained for the electronic total energy is -83.454 eV/f.u. As for the polymorph energy (0 for the lowest one): 0 meV/atom.

Cell lengths 4.491, 4.491, 4.491 Å; angles 90.00, 90.00, 90.00 degrees
Space group Pm-3m (No. 221)
Asymmetric unit:
1 Mn 0.000 0.000 0.000 x1
2 Si 0.000 0.000 0.500 x3
3 Te 0.500 0.500 0.500 x1

Mn2SiTe: PBEsol geometry, meta-GGA SCAN.

Properties
The theoretical density comes out at 6.75 g cm⁻³. The value obtained for the electronic total energy is -84.172 eV/f.u. As for the polymorph energy (0 for the lowest one): 0 meV/atom.

Cell lengths 3.6309, 3.6309, 17.1665 Å; angles 90.00, 90.00, 120.00 degrees
Space group R-3m (No. 166, hexagonal axes)
Asymmetric unit:
1 Mn 0.0000 0.0000 0.2250 x6
2 Si 0.0000 0.0000 0.5000 x3
3 Te 0.0000 0.0000 0.0000 x3

Ti2MnSi2: PBEsol geometry, meta-GGA SCAN.

Properties
The theoretical density comes out at 5.00 g cm⁻³. The value obtained for the electronic total energy is -73.902 eV/f.u.

Cell lengths 6.108, 6.108, 3.681 Å; angles 90.00, 90.00, 90.00 degrees
Space group P4/mbm (No. 127)
Asymmetric unit:
1 Ti 0.169 0.331 0.000 x4
2 Mn 0.000 0.000 0.500 x2
3 Si 0.138 0.638 0.500 x4

MnTl2Si: PBEsol geometry, meta-GGA SCAN.

Properties
The theoretical density comes out at 9.95 g cm⁻³. The value obtained for the electronic total energy is -171.044 eV/f.u.

Cell lengths 6.201, 8.477, 3.124 Å; angles 90.00, 90.00, 90.00 degrees
Space group Cmmm (No. 65)
Asymmetric unit:
1 Mn 0.000 0.000 0.000 x2
2 Tl 0.250 0.250 0.500 x4
3 Si 0.000 0.500 0.000 x2

MnTl3Si: PBEsol geometry, meta-GGA SCAN.

Properties
The theoretical density comes out at 8.94 g cm⁻³. The value obtained for the electronic total energy is -241.827 eV/f.u.

Cell lengths 5.057, 5.057, 5.057 Å; angles 90.00, 90.00, 90.00 degrees
Space group Pm-3m (No. 221)
Asymmetric unit:
1 Mn 0.000 0.000 0.000 x1
2 Tl 0.000 0.000 0.500 x3
3 Si 0.500 0.500 0.500 x1

MnTlSi3: PBEsol geometry, meta-GGA SCAN.

Properties
The theoretical density comes out at 4.35 g cm⁻³. The value obtained for the electronic total energy is -112.179 eV/f.u.

Cell lengths 5.081, 5.081, 5.081 Å; angles 90.00, 90.00, 90.00 degrees
Space group Pm-3m (No. 221)
Asymmetric unit:
1 Mn 0.000 0.000 0.000 x1
2 Tl 0.500 0.500 0.500 x1
3 Si 0.000 0.500 0.500 x3

MnTl2Si: PBEsol geometry, meta-GGA SCAN.

Properties
The theoretical density comes out at 9.72 g cm⁻³. The value obtained for the electronic total energy is -171.043 eV/f.u.

Cell lengths 3.348, 4.908, 5.110 Å; angles 90.00, 90.00, 90.00 degrees
Space group Pmmm (No. 47)
Asymmetric unit:
1 Mn 0.000 0.000 0.000 x1
2 Tl 0.000 0.500 0.500 x1
3 Tl 0.500 0.500 0.000 x1
4 Si 0.500 0.000 0.500 x1

TmMnSi: PBEsol geometry, meta-GGA SCAN.

Properties
The theoretical density comes out at 8.44 g cm⁻³. The value obtained for the electronic total energy is -81.993 eV/f.u.

Cell lengths 6.785, 4.053, 7.210 Å; angles 90.00, 90.00, 90.00 degrees
Space group Pnma (No. 62)
Asymmetric unit:
1 Tm 0.001 0.250 0.187 x4
2 Mn 0.143 0.250 0.558 x4
3 Si 0.207 0.750 0.388 x4

U2Mn3Si: PBEsol geometry, meta-GGA SCAN.

Properties
The theoretical density comes out at 13.10 g cm⁻³. The value obtained for the electronic total energy is -273.627 eV/f.u.

Cell lengths 5.0538, 5.0538, 7.6693 Å; angles 90.00, 90.00, 120.00 degrees
Space group P6_3/mmc (No. 194)
Asymmetric unit:
1 U 0.3333 0.6667 0.0764 x4
2 Mn 0.1695 0.3391 0.7500 x6
3 Si 0.0000 0.0000 0.0000 x2

MnSiW2: PBEsol geometry, meta-GGA SCAN.

Properties
The theoretical density comes out at 13.61 g cm⁻³. The value obtained for the electronic total energy is -167.724 eV/f.u.

Cell lengths 3.705, 3.705, 8.009 Å; angles 90.00, 90.00, 90.00 degrees
Space group I4/mmm (No. 139)
Asymmetric unit:
1 Mn 0.000 0.000 0.000 x2
2 Si 0.000 0.000 0.500 x2
3 W 0.000 0.500 0.250 x4

MnSi4W: PBEsol geometry, meta-GGA SCAN.

Properties
The theoretical density comes out at 7.64 g cm⁻³. The value obtained for the electronic total energy is -125.342 eV/f.u.

Cell lengths 6.734, 6.734, 6.734 Å; angles 90.00, 90.00, 90.00 degrees
Space group F-43m (No. 216)
Asymmetric unit:
1 Mn 0.000 0.000 0.000 x4
2 Si 0.125 0.125 0.375 x16
3 W 0.250 0.250 0.750 x4

MnSiW3: PBEsol geometry, meta-GGA SCAN.

Properties
The theoretical density comes out at 12.37 g cm⁻³. The value obtained for the electronic total energy is -229.325 eV/f.u.

Cell lengths 4.400, 4.400, 4.400 Å; angles 90.00, 90.00, 90.00 degrees
Space group Pm-3m (No. 221)
Asymmetric unit:
1 Mn 0.000 0.000 0.000 x1
2 Si 0.500 0.500 0.500 x1
3 W 0.000 0.000 0.500 x3

MnSiW2: PBEsol geometry, meta-GGA SCAN.

Properties
The theoretical density comes out at 13.66 g cm⁻³. The value obtained for the electronic total energy is -167.274 eV/f.u.

Cell lengths 5.453, 6.555, 3.065 Å; angles 90.00, 90.00, 90.00 degrees
Space group Cmmm (No. 65)
Asymmetric unit:
1 Mn 0.000 0.000 0.000 x2
2 Si 0.000 0.500 0.000 x2
3 W 0.250 0.250 0.500 x4